1.
# Tm6ZnTe3S2 GGA-PBE optimized geometry
# Magnetic moment, μB per atom: 0.00
# Formation energy without anion corrections, eV per formula unit: -15.72
# Density, g/cm3: 8.5
# Crystal system: monoclinic
data_Tm6ZnTe3S2
_chemical_formula_sum 'Tm12 Zn2 Te6 S4'
_cell_length_a 7.064
_cell_length_b 12.193
_cell_length_c 7.318
_cell_angle_alpha 90.00
_cell_angle_beta 108.55
_cell_angle_gamma 90.00
_symmetry_space_group_name_H-M 'C 1 2/m 1'
_symmetry_Int_Tables_number 12
loop_
_symmetry_equiv_pos_as_xyz
'x,y,z'
'-x,-y,-z'
'-x,y,-z'
'x,-y,z'
'x+1/2,y+1/2,z'
'-x+1/2,-y+1/2,-z'
'-x+1/2,y+1/2,-z'
'x+1/2,-y+1/2,z'
loop_
_atom_site_label
_atom_site_type_symbol
_atom_site_fract_x
_atom_site_fract_y
_atom_site_fract_z
Tm1 Tm 0.236 0.166 0.213
Tm2 Tm 0.240 0.500 0.213
Zn1 Zn 0.000 0.000 0.000
Te1 Te 0.000 0.168 0.500
Te2 Te 0.000 0.500 0.500
S1 S 0.000 0.334 0.000

---

2.
# UTeS2 GGA-PBE optimized geometry
# Magnetic moment, μB per atom: 0.30
# Formation energy without anion corrections, eV per formula unit: -2.89
# Offset from the most stable computed form, kJ per mole of atoms: 17.7
# Density, g/cm3: 6.0
# Crystal system: trigonal
data_UTeS2
_chemical_formula_sum 'U3 Te3 S6'
_cell_length_a 4.0841
_cell_length_b 4.0841
_cell_length_c 24.5958
_cell_angle_alpha 90.00
_cell_angle_beta 90.00
_cell_angle_gamma 120.00
_symmetry_space_group_name_H-M 'R 3 m'
_symmetry_Int_Tables_number 160
_symmetry_space_group_name_Hall 'R 3 -2"'
loop_
_atom_site_label
_atom_site_type_symbol
_atom_site_fract_x
_atom_site_fract_y
_atom_site_fract_z
U1 U 0.0000 0.0000 0.0000
Te1 Te 0.0000 0.0000 0.1306
S1 S 0.0000 0.0000 0.3761
S2 S 0.0000 0.0000 0.6116

---

3.
# U2TeS3 GGA-PBE optimized geometry
# Magnetic moment, μB per atom: 0.67
# Formation energy without anion corrections, eV per formula unit: -6.39
# Density, g/cm3: 8.5
# Crystal system: orthorhombic
data_U2TeS3
_chemical_formula_sum 'U8 Te4 S12'
_cell_length_a 9.541
_cell_length_b 8.485
_cell_length_c 6.743
_cell_angle_alpha 90.00
_cell_angle_beta 90.00
_cell_angle_gamma 90.00
_symmetry_space_group_name_H-M 'C m c m'
_symmetry_Int_Tables_number 63
_symmetry_space_group_name_Hall '-C 2c 2'
loop_
_atom_site_label
_atom_site_type_symbol
_atom_site_fract_x
_atom_site_fract_y
_atom_site_fract_z
U1 U 0.227 0.000 0.000
Te1 Te 0.000 0.415 0.250
S1 S 0.000 0.069 0.250
S2 S 0.190 0.256 0.750

---

4.
# UTeS GGA-PBE optimized geometry
# Magnetic moment, μB per atom: 0.61
# Formation energy without anion corrections, eV per formula unit: -2.74
# Offset from the most stable computed form, kJ per mole of atoms: 14.2
# Density, g/cm3: 9.3
# Crystal system: tetragonal
data_UTeS
_chemical_formula_sum 'U2 Te2 S2'
_cell_length_a 3.629
_cell_length_b 3.629
_cell_length_c 10.786
_cell_angle_alpha 90.00
_cell_angle_beta 90.00
_cell_angle_gamma 90.00
_symmetry_space_group_name_H-M 'I 4 m m'
_symmetry_Int_Tables_number 107
_symmetry_space_group_name_Hall 'I 4 -2'
loop_
_atom_site_label
_atom_site_type_symbol
_atom_site_fract_x
_atom_site_fract_y
_atom_site_fract_z
U1 U 0.000 0.000 0.000
Te1 Te 0.000 0.000 0.319
S1 S 0.000 0.000 0.603

---

5.
# UTeS4 GGA-PBE optimized geometry
# Magnetic moment, μB per atom: 0.30
# Formation energy without anion corrections, eV per formula unit: -3.65
# Density, g/cm3: 4.6
# Crystal system: monoclinic
data_UTeS4
_chemical_formula_sum 'U2 Te2 S8'
_cell_length_a 14.687
_cell_length_b 4.021
_cell_length_c 6.802
_cell_angle_alpha 90.00
_cell_angle_beta 116.44
_cell_angle_gamma 90.00
_symmetry_space_group_name_H-M 'C 1 2/m 1'
_symmetry_Int_Tables_number 12
loop_
_symmetry_equiv_pos_as_xyz
'x,y,z'
'-x,-y,-z'
'-x,y,-z'
'x,-y,z'
'x+1/2,y+1/2,z'
'-x+1/2,-y+1/2,-z'
'-x+1/2,y+1/2,-z'
'x+1/2,-y+1/2,z'
loop_
_atom_site_label
_atom_site_type_symbol
_atom_site_fract_x
_atom_site_fract_y
_atom_site_fract_z
U1 U 0.000 0.000 0.000
Te1 Te 0.000 0.500 0.500
S1 S 0.107 0.500 0.939
S2 S 0.109 0.000 0.438

---

6.
# UTeS GGA-PBE optimized geometry
# Magnetic moment, μB per atom: 0.67
# Formation energy without anion corrections, eV per formula unit: -2.79
# Offset from the most stable computed form, kJ per mole of atoms: 12.6
# Density, g/cm3: 7.8
# Crystal system: tetragonal
data_UTeS
_chemical_formula_sum 'U4 Te4 S4'
_cell_length_a 9.093
_cell_length_b 9.093
_cell_length_c 4.110
_cell_angle_alpha 90.00
_cell_angle_beta 90.00
_cell_angle_gamma 90.00
_symmetry_space_group_name_H-M 'P 42/m'
_symmetry_Int_Tables_number 84
loop_
_symmetry_equiv_pos_as_xyz
'x,y,z'
'-x,-y,-z'
'-y,x,z+1/2'
'y,-x,-z+1/2'
'-x,-y,z'
'x,y,-z'
'y,-x,z+1/2'
'-y,x,-z+1/2'
loop_
_atom_site_label
_atom_site_type_symbol
_atom_site_fract_x
_atom_site_fract_y
_atom_site_fract_z
U1 U 0.069 0.676 0.000
Te1 Te 0.191 0.435 0.500
S1 S 0.129 0.844 0.500

---

Let's list total energy in order: -5.126, -6.393, -7.416, -7.099, -5.766, -7.115 eV per atom.